Computed, not measured: an optimized crystal structure of Na2Sr2WO6 at the PBE with a Hubbard U level of DFT.

Cell: 6.056 6.056 5.916 Å, 97.01 97.01 118.76°
Positions (direct):
O: 0.213 0.213 0.299
O: 0.314 0.039 0.690
O: 0.686 0.961 0.310
O: 0.039 0.314 0.690
O: 0.961 0.686 0.310
O: 0.787 0.787 0.701
W: 0.000 0.000 0.500
Sr: 0.337 0.663 0.500
Sr: 0.663 0.337 0.500
Na: 0.137 0.863 0.000
Na: 0.863 0.137 0.000

Final energy   -6.195 eV/atom
Symmetry   C2/m (12)
Size of the total moment   0.000 Bohr magnetons per cell
Volume   16.784 Å³/atom